1.
This record from the Alexandria database describes crystalline Y3ThRh8 at its relaxed geometry. The functional is GGA-PBE.

Computed properties:
symmetry = R3m, No. 160

Cell: 5.370 5.370 9.294 Å, 73.21 73.21 60.00°
Element x y z (fractional)
Y 0.374 0.374 0.878
Y 0.002 0.002 0.993
Y 0.498 0.498 0.507
Th 0.876 0.876 0.372
Rh 0.936 0.439 0.187
Rh 0.438 0.937 0.688
Rh 0.439 0.439 0.187
Rh 0.937 0.937 0.688
Rh 0.187 0.187 0.439
Rh 0.688 0.688 0.937
Rh 0.439 0.936 0.187
Rh 0.937 0.438 0.688

2.
This record from the Alexandria database describes crystalline Y3ThRh4 at its relaxed geometry. The functional is GGA-PBE.

Computed properties:
symmetry = R-3m, No. 166

Cell: 4.931 4.931 8.482 Å, 73.10 73.10 60.00°
Element x y z (fractional)
Y 0.246 0.246 0.262
Y 0.754 0.754 0.738
Y 0.500 0.500 0.500
Rh 0.879 0.879 0.364
Rh 0.373 0.373 0.881
Rh 0.121 0.121 0.636
Rh 0.627 0.627 0.119
Th 0.000 0.000 0.000

3.
This record from the Alexandria database describes crystalline YThRh at its relaxed geometry. The functional is GGA-PBE.

Computed properties:
energy relative to the lowest polymorph listed for this composition = 0 meV per atom
symmetry = C2/m, No. 12

Cell: 3.962 5.894 8.649 Å, 57.13 76.78 90.00°
Element x y z (fractional)
Y 0.077 0.377 0.846
Y 0.923 0.623 0.154
Th 0.654 0.004 0.691
Th 0.346 0.996 0.309
Rh 0.729 0.644 0.542
Rh 0.271 0.356 0.458

no.,final energy (eV per formula unit)
1,-94.51
2,-62.92
3,-22.96